The following is a PBE-GGA calculation of crystalline TlCd2In at its relaxed geometry, from the Alexandria database.

Properties
Distance to the lowest polymorph of the same formula (meV per atom): 98
E_form (meV/atom): 121

Cell lengths 4.256, 4.256, 7.841 Å; angles 74.25, 74.25, 60.00 degrees
Fractional coordinates of all 4 atoms:
Tl 0.499 0.499 0.504
Cd 0.080 0.080 0.760
Cd 0.253 0.253 0.240
In 0.668 0.668 0.996

The following is a PBE-GGA calculation of crystalline Tl2Cd3In at its relaxed geometry, from the Alexandria database.

Properties
Distance to the lowest polymorph of the same formula (meV per atom): 0
E_form (meV/atom): 31

Cell lengths 5.967, 5.967, 6.220 Å; angles 93.30, 116.91, 117.92 degrees
Fractional coordinates of all 6 atoms:
Tl 0.748 0.376 0.124
Tl 0.252 0.624 0.876
Cd 0.500 0.500 0.500
Cd 0.000 0.000 0.500
Cd 0.500 0.000 0.500
In 0.000 0.000 0.000

The following is a PBE-GGA calculation of crystalline TlCd2In at its relaxed geometry, from the Alexandria database.

Properties
Distance to the lowest polymorph of the same formula (meV per atom): 26
E_form (meV/atom): 49

Cell lengths 3.251, 4.713, 6.813 Å; angles 90.00, 90.00, 90.00 degrees
Fractional coordinates of all 4 atoms:
Tl 0.500 0.500 0.753
Cd 0.000 0.000 0.015
Cd 0.500 0.500 0.245
In 0.000 0.000 0.486